Below is a relaxed TbNd2Ir3 crystal, with properties calculated at the PBE level.

Lattice parameters (Å, degrees): 4.1635 5.8011 12.1293 90.00 90.00 90.00
Closest atoms and distances in Å follow each position.
Space group Immm (No. 71)
Symmetry-distinct sites (fractional):
Tb  0.0000  0.0000  0.0000  6 Ir 2.83-2.90
Nd  0.0000  0.0000  0.3308  6 Ir 2.90-2.96
Ir  0.0000  0.5000  0.0000  2 Tb 2.90, 4 Nd 2.92
Ir  0.0000  0.5000  0.3423  2 Tb 2.83, 4 Nd 2.90-2.96

Output
Magnetization in Bohr magnetons per cell: 0.00
Energy of formation from the pure elements in eV/atom: -0.35